No. 1
Below is a geometry-optimized BaSbPt2 structure, with properties calculated at the PBE-GGA level.

a = 4.6172 Å, b = 4.6172 Å, c = 5.6764 Å
α = 90.00°, β = 90.00°, γ = 120.00°
With the nearest neighbours (Å) after each atom.
Sites, in units of the cell vectors:
Ba  0.6667  0.3333  0.0000  6 Pt 3.08
Pt  0.0000  0.0000  0.2713  1 Pt 2.60
Pt  0.0000  0.0000  0.7287  1 Pt 2.60
Sb  0.3333  0.6667  0.5000  6 Pt 2.96

DFT total energy, eV per atom: -4.91
Space group: P-6m2, No. 187

No. 2
Below is a geometry-optimized BaDyLu structure, with properties calculated at the PBE-GGA level.

a = 5.7294 Å, b = 5.7294 Å, c = 5.7294 Å
α = 60.00°, β = 60.00°, γ = 60.00°
With the nearest neighbours (Å) after each atom.
Sites, in units of the cell vectors:
Ba  0.5000  0.5000  0.5000  4 Lu 3.51
Dy  0.0000  0.0000  0.0000  4 Lu 3.51
Lu  0.2500  0.2500  0.2500  4 Ba 3.51, 4 Dy 3.51

DFT total energy, eV per atom: -2.85
Space group: F-43m, No. 216

No. 3
Below is a geometry-optimized Ho3Cd3GaAg2 structure, with properties calculated at the PBE-GGA level.

a = 7.8331 Å, b = 7.8331 Å, c = 3.8691 Å
α = 90.00°, β = 90.00°, γ = 120.00°
With the nearest neighbours (Å) after each atom.
Sites, in units of the cell vectors:
Ag  0.6667  0.3333  0.5000  3 Cd 2.93, 6 Ho 3.08
Ag  0.3333  0.6667  0.5000  3 Cd 2.93, 6 Ho 3.08
Cd  0.2621  0.0000  0.5000  2 Ga 2.82, 2 Ag 2.93
Cd  0.0000  0.2621  0.5000  2 Ga 2.82, 2 Ag 2.93
Cd  0.7379  0.7379  0.5000  2 Ga 2.82, 2 Ag 2.93
Ga  0.0000  0.0000  0.0000  6 Cd 2.82, 3 Ho 3.14
Ho  0.5995  0.0000  0.0000  4 Ag 3.08, 1 Ga 3.14, 6 Cd 3.28-3.37
Ho  0.4005  0.4005  0.0000  4 Ag 3.08, 1 Ga 3.14, 6 Cd 3.28-3.37
Ho  0.0000  0.5995  0.0000  4 Ag 3.08, 1 Ga 3.14, 6 Cd 3.28-3.37

DFT total energy, eV per atom: -3.16
Space group: P-62m, No. 189

No. 4
Below is a geometry-optimized LiNpHg structure, with properties calculated at the PBE-GGA level.

a = 4.7295 Å, b = 4.7295 Å, c = 4.7295 Å
α = 60.00°, β = 60.00°, γ = 60.00°
With the nearest neighbours (Å) after each atom.
Sites, in units of the cell vectors:
Hg  0.5000  0.5000  0.5000  4 Li 2.90
Li  0.2500  0.2500  0.2500  4 Np 2.90, 4 Hg 2.90
Np  0.0000  0.0000  0.0000  4 Li 2.90

DFT total energy, eV per atom: -4.37
Space group: F-43m, No. 216

No. 5
Below is a geometry-optimized NaAlGePt structure, with properties calculated at the PBE-GGA level.

a = 4.5234 Å, b = 4.5234 Å, c = 4.5234 Å
α = 60.00°, β = 60.00°, γ = 60.00°
With the nearest neighbours (Å) after each atom.
Sites, in units of the cell vectors:
Al  0.5000  0.5000  0.5000  4 Pt 2.77, 4 Na 2.77
Ge  0.0000  0.0000  0.0000  4 Pt 2.77, 4 Na 2.77
Na  0.7500  0.7500  0.7500  4 Al 2.77, 4 Ge 2.77
Pt  0.2500  0.2500  0.2500  4 Al 2.77, 4 Ge 2.77

Excess energy over the best structure of this formula in the dataset, eV/atom: 0.0000
DFT total energy, eV per atom: -4.21
Space group: F-43m, No. 216

No. 6
Below is a geometry-optimized DyCd3Re4O12 structure, with properties calculated at the PBE-GGA level.

a = 6.7370 Å, b = 6.7370 Å, c = 6.7370 Å
α = 109.47°, β = 109.47°, γ = 109.47°
With the nearest neighbours (Å) after each atom.
Sites, in units of the cell vectors:
Cd  0.5000  0.5000  0.0000  4 O 2.24
Cd  0.5000  0.0000  0.5000  4 O 2.24
Cd  0.0000  0.5000  0.5000  4 O 2.24
Dy  0.0000  0.0000  0.0000  12 O 2.64
O  0.2821  0.8113  0.0934  2 Re 2.02, 1 Cd 2.24
O  0.4708  0.2821  0.1887  2 Re 2.02, 1 Cd 2.24
O  0.9066  0.7179  0.1887  2 Re 2.02, 1 Cd 2.24
O  0.8113  0.0934  0.2821  2 Re 2.02, 1 Cd 2.24
O  0.1887  0.4708  0.2821  2 Re 2.02, 1 Cd 2.24
O  0.2821  0.1887  0.4708  2 Re 2.02, 1 Cd 2.24
O  0.7179  0.8113  0.5292  2 Re 2.02, 1 Cd 2.24
O  0.8113  0.5292  0.7179  2 Re 2.02, 1 Cd 2.24
O  0.1887  0.9066  0.7179  2 Re 2.02, 1 Cd 2.24
O  0.0934  0.2821  0.8113  2 Re 2.02, 1 Cd 2.24
O  0.5292  0.7179  0.8113  2 Re 2.02, 1 Cd 2.24
O  0.7179  0.1887  0.9066  2 Re 2.02, 1 Cd 2.24
Re  0.5000  0.0000  0.0000  6 O 2.02
Re  0.0000  0.5000  0.0000  6 O 2.02
Re  0.0000  0.0000  0.5000  6 O 2.02
Re  0.5000  0.5000  0.5000  6 O 2.02

DFT total energy, eV per atom: -7.09
Space group: Im-3, No. 204

No. 7
Below is a geometry-optimized GdScO3 structure, with properties calculated at the PBE-GGA level.

a = 5.5667 Å, b = 5.5667 Å, c = 5.8931 Å
α = 61.82°, β = 61.82°, γ = 60.00°
With the nearest neighbours (Å) after each atom.
Sites, in units of the cell vectors:
Gd  0.6358  0.6358  0.0925  6 O 2.23-2.39
Gd  0.3642  0.3642  0.9075  6 O 2.23-2.39
O  0.9649  0.5530  0.2604  2 Sc 2.09-2.19, 1 Gd 2.23
O  0.2217  0.9648  0.2604  2 Sc 2.09-2.19, 1 Gd 2.23
O  0.5530  0.2217  0.2604  2 Sc 2.09-2.19, 1 Gd 2.23
O  0.4470  0.7783  0.7396  2 Sc 2.09-2.19, 1 Gd 2.23
O  0.7783  0.0352  0.7396  2 Sc 2.09-2.19, 1 Gd 2.23
O  0.0352  0.4470  0.7396  2 Sc 2.09-2.19, 1 Gd 2.23
Sc  0.8516  0.8516  0.4452  6 O 2.09-2.19
Sc  0.1484  0.1484  0.5548  6 O 2.09-2.19

DFT total energy, eV per atom: -8.65
Space group: R-3, No. 148

No. 8
Below is a geometry-optimized Nd2Sm2CBr2Cl3 structure, with properties calculated at the PBE-GGA level.

a = 9.2532 Å, b = 9.2532 Å, c = 8.0304 Å
α = 103.57°, β = 103.57°, γ = 24.07°
With the nearest neighbours (Å) after each atom.
Sites, in units of the cell vectors:
Br  0.8304  0.8304  0.1834  3 Nd 3.01-3.29, 1 Sm 3.01
Br  0.1696  0.1696  0.8166  3 Nd 3.01-3.29, 1 Sm 3.01
C  0.5000  0.5000  0.0000  2 Nd 2.52, 4 Sm 2.58
Cl  0.1575  0.1575  0.3471  1 Sm 2.80, 2 Nd 2.83
Cl  0.5000  0.5000  0.5000  4 Sm 3.00
Cl  0.8425  0.8425  0.6529  1 Sm 2.80, 2 Nd 2.83
Nd  0.6433  0.6433  0.0839  1 C 2.52
Nd  0.3567  0.3567  0.9161  1 C 2.52
Sm  0.9994  0.9994  0.2130  2 C 2.58, 1 Cl 2.80
Sm  0.0006  0.0006  0.7870  2 C 2.58, 1 Cl 2.80

Excess energy over the best structure of this formula in the dataset, eV/atom: 0.0007
DFT total energy, eV per atom: -5.30
Space group: C2/m, No. 12

No. 9
Below is a geometry-optimized Hf2Cd2P structure, with properties calculated at the PBE-GGA level.

a = 6.8687 Å, b = 6.3158 Å, c = 8.2455 Å
α = 54.35°, β = 48.35°, γ = 77.30°
With the nearest neighbours (Å) after each atom.
Sites, in units of the cell vectors:
Cd  0.4441  0.9890  0.1921  1 P 2.67, 1 Hf 2.93
Cd  0.8751  0.0579  0.2610  1 P 2.67, 1 Hf 2.93
Cd  0.9890  0.4441  0.3749  1 P 2.67, 1 Hf 2.93
Cd  0.0579  0.8751  0.8059  1 P 2.67, 1 Hf 2.93
Hf  0.5112  0.4316  0.2288  2 P 2.50-2.63
Hf  0.0212  0.4216  0.7388  2 P 2.50-2.63
Hf  0.4216  0.0212  0.8184  2 P 2.50-2.63
Hf  0.4316  0.5112  0.8284  2 P 2.50-2.63
P  0.5433  0.5433  0.4567  4 Hf 2.50-2.63, 2 Cd 2.67
P  0.7933  0.7933  0.7067  4 Hf 2.50-2.63, 2 Cd 2.67

DFT total energy, eV per atom: -5.62
Space group: Fdd2, No. 43

No. 10
Below is a geometry-optimized Tm3Al3CuSiAu structure, with properties calculated at the PBE-GGA level.

a = 6.9613 Å, b = 6.9613 Å, c = 4.1268 Å
α = 90.00°, β = 90.00°, γ = 120.00°
With the nearest neighbours (Å) after each atom.
Sites, in units of the cell vectors:
Al  0.6636  0.0938  0.0000  2 Cu 2.65, 1 Au 2.70, 1 Si 2.73, 2 Al 2.87
Al  0.4302  0.3364  0.0000  2 Cu 2.65, 1 Au 2.70, 1 Si 2.73, 2 Al 2.87
Al  0.9062  0.5698  0.0000  2 Cu 2.65, 1 Au 2.70, 1 Si 2.73, 2 Al 2.87
Au  0.3333  0.6667  0.0000  3 Al 2.70, 6 Tm 2.96
Cu  0.6667  0.3333  0.5000  6 Al 2.65, 3 Tm 2.85
Si  0.0000  0.0000  0.0000  3 Al 2.73, 6 Tm 2.93
Tm  0.0747  0.3296  0.5000  1 Cu 2.85, 2 Si 2.93, 2 Au 2.96
Tm  0.6704  0.7451  0.5000  1 Cu 2.85, 2 Si 2.93, 2 Au 2.96
Tm  0.2549  0.9253  0.5000  1 Cu 2.85, 2 Si 2.93, 2 Au 2.96

DFT total energy, eV per atom: -4.78
Space group: P-6, No. 174

No. 11
Below is a geometry-optimized LiW2 structure, with properties calculated at the PBE-GGA level.

a = 5.3047 Å, b = 5.3047 Å, c = 5.3047 Å
α = 60.00°, β = 60.00°, γ = 60.00°
With the nearest neighbours (Å) after each atom.
Sites, in units of the cell vectors:
Li  0.0000  0.0000  0.0000  12 W 3.11, 4 Li 3.25
Li  0.2500  0.2500  0.2500  12 W 3.11, 4 Li 3.25
W  0.6250  0.6250  0.1250  6 W 2.65
W  0.6250  0.1250  0.6250  6 W 2.65
W  0.1250  0.6250  0.6250  6 W 2.65
W  0.6250  0.6250  0.6250  6 W 2.65

Excess energy over the best structure of this formula in the dataset, eV/atom: 0.0000
DFT total energy, eV per atom: -8.49
Space group: Fd-3m, No. 227

No. 12
Below is a geometry-optimized Sr2Dy5Cu structure, with properties calculated at the PBE-GGA level.

a = 4.5253 Å, b = 4.5253 Å, c = 15.2628 Å
α = 90.00°, β = 90.00°, γ = 90.00°
With the nearest neighbours (Å) after each atom.
Sites, in units of the cell vectors:
Cu  0.0000  0.0000  0.0000  12 Dy 3.20-3.34
Dy  0.5000  0.5000  0.0000  4 Cu 3.20, 8 Dy 3.34
Dy  0.5000  0.0000  0.1611  6 Dy 3.20-3.34, 2 Cu 3.34
Dy  0.0000  0.5000  0.1611  6 Dy 3.20-3.34, 2 Cu 3.34
Dy  0.5000  0.0000  0.8389  6 Dy 3.20-3.34, 2 Cu 3.34
Dy  0.0000  0.5000  0.8389  6 Dy 3.20-3.34, 2 Cu 3.34
Sr  0.5000  0.5000  0.3652  4 Dy 3.85, 1 Sr 4.11
Sr  0.5000  0.5000  0.6348  4 Dy 3.85, 1 Sr 4.11

DFT total energy, eV per atom: -3.44
Space group: P4/mmm, No. 123